The following is a PBE calculation of an optimized crystal structure of IrPbSe2, from the Alexandria database.

Unit cell a=4.870 b=4.870 c=4.870 alpha=60.00 beta=60.00 gamma=60.00
Sites, in units of the cell vectors:
1 Pb 0.750 0.750 0.750
2 Se 0.250 0.250 0.250
3 Se 0.000 0.000 0.000
4 Ir 0.500 0.500 0.500

Its total magnetization is 0.0 μB/cell. The energy relative to the elements, uncorrected is 0.65 eV per atom. As for the total energy: -4.2333 eV/atom.